1.
Pr2TmSe4 | the Alexandria database | PBE | optimized geometry; space group = Pbam, No. 55; energy above the lowest structure with this stoichiometry = 0.0 kJ/mol of atoms; E = -5.856 eV/atom
1.0
7.591 0.000 0.000
0.000 11.894 0.000
0.000 0.000 4.297
Pr Tm Se
4 2 8
direct
0.104 0.186 0.000
0.396 0.686 0.000
0.604 0.314 0.000
0.896 0.814 0.000
0.000 0.500 0.500
0.500 0.000 0.500
0.126 0.719 0.500
0.240 0.449 0.000
0.260 0.949 0.000
0.374 0.219 0.500
0.626 0.781 0.500
0.740 0.051 0.000
0.760 0.551 0.000
0.874 0.281 0.500

2.
Pr3Tm5Se12 | the Alexandria database | PBE | optimized geometry; space group = Ia-3d, No. 230; E = -5.651 eV/atom
1.0
-8.463 8.463 8.463
8.463 -8.463 8.463
8.463 8.463 -8.463
Pr Tm Se
12 20 48
direct
0.125 0.250 0.375
0.125 0.375 0.750
0.250 0.375 0.125
0.250 0.875 0.625
0.375 0.125 0.250
0.375 0.750 0.125
0.625 0.250 0.875
0.625 0.875 0.750
0.750 0.125 0.375
0.750 0.625 0.875
0.875 0.625 0.250
0.875 0.750 0.625
0.000 0.000 0.000
0.000 0.000 0.500
0.000 0.500 0.000
0.000 0.500 0.500
0.125 0.750 0.875
0.125 0.875 0.250
0.250 0.125 0.875
0.250 0.625 0.375
0.375 0.250 0.625
0.375 0.625 0.750
0.500 0.000 0.000
0.500 0.000 0.500
0.500 0.500 0.000
0.500 0.500 0.500
0.625 0.375 0.250
0.625 0.750 0.375
0.750 0.375 0.625
0.750 0.875 0.125
0.875 0.125 0.750
0.875 0.250 0.125
0.044 0.218 0.128
0.044 0.325 0.915
0.085 0.628 0.410
0.085 0.956 0.675
0.090 0.718 0.675
0.090 0.872 0.415
0.128 0.044 0.218
0.128 0.585 0.910
0.175 0.218 0.590
0.175 0.456 0.585
0.218 0.128 0.044
0.218 0.590 0.175
0.282 0.325 0.910
0.282 0.456 0.372
0.325 0.910 0.282
0.325 0.915 0.044
0.372 0.282 0.456
0.372 0.590 0.915
0.410 0.085 0.628
0.410 0.825 0.782
0.415 0.090 0.872
0.415 0.825 0.544
0.456 0.372 0.282
0.456 0.585 0.175
0.544 0.415 0.825
0.544 0.628 0.718
0.585 0.175 0.456
0.585 0.910 0.128
0.590 0.175 0.218
0.590 0.915 0.372
0.628 0.410 0.085
0.628 0.718 0.544
0.675 0.085 0.956
0.675 0.090 0.718
0.718 0.544 0.628
0.718 0.675 0.090
0.782 0.410 0.825
0.782 0.872 0.956
0.825 0.544 0.415
0.825 0.782 0.410
0.872 0.415 0.090
0.872 0.956 0.782
0.910 0.128 0.585
0.910 0.282 0.325
0.915 0.044 0.325
0.915 0.372 0.590
0.956 0.675 0.085
0.956 0.782 0.872

3.
PrTm3Se4 | the Alexandria database | PBE | optimized geometry; space group = Cmmm, No. 65; E = -5.713 eV/atom
1.0
4.165 -5.775 0.000
4.165 5.775 0.000
0.000 0.000 4.001
Pr Tm Se
1 3 4
direct
0.000 0.000 0.000
0.000 0.500 0.500
0.500 0.000 0.500
0.500 0.500 0.000
0.257 0.743 0.000
0.265 0.265 0.500
0.735 0.735 0.500
0.743 0.257 0.000

4.
PrTmSe | the Alexandria database | PBE | optimized geometry; space group = P3m1, No. 156; E = -5.319 eV/atom
1.0
3.906 0.000 0.000
-1.953 3.382 0.000
0.000 0.000 6.705
Pr Tm Se
1 1 1
direct
0.000 0.000 0.000
0.333 0.667 0.444
0.667 0.333 0.703

5.
Pr4TmSe5 | the Alexandria database | PBE | optimized geometry; space group = R-3m, No. 166; energy above the lowest structure with this stoichiometry = 0.0 kJ/mol of atoms; E = -5.908 eV/atom
1.0
2.099 1.212 17.384
-2.099 1.212 17.384
0.000 -2.423 17.384
Pr Tm Se
4 1 5
direct
0.102 0.102 0.102
0.299 0.299 0.299
0.701 0.701 0.701
0.898 0.898 0.898
0.500 0.500 0.500
0.000 0.000 0.000
0.196 0.196 0.196
0.402 0.402 0.402
0.598 0.598 0.598
0.804 0.804 0.804

6.
PrTmSe3 | the Alexandria database | PBE | optimized geometry; space group = P2_1/m, No. 11; energy above the lowest structure with this stoichiometry = 0.5 kJ/mol of atoms; E = -5.811 eV/atom
1.0
8.123 0.000 0.000
0.000 4.117 0.000
-0.764 0.000 8.268
Pr Tm Se
2 2 6
direct
0.123 0.250 0.273
0.877 0.750 0.727
0.352 0.750 0.829
0.648 0.250 0.171
0.126 0.250 0.891
0.189 0.750 0.528
0.404 0.750 0.179
0.596 0.250 0.821
0.811 0.250 0.472
0.874 0.750 0.109

| no. | uncorrected formation energy (meV/atom) |
| --- | --- |
| 1 | -1861 |
| 2 | -1725 |
| 3 | -1697 |
| 4 | -1074 |
| 5 | -1807 |
| 6 | -1870 |